# Cd2CoRu (GGA-PBE, relaxed)
data_Cd2CoRu
_symmetry_space_group_name_H-M 'P 1'
_symmetry_Int_Tables_number 1
_cell_length_a 4.258
_cell_length_b 2.916
_cell_length_c 5.574
_cell_angle_alpha 76.07
_cell_angle_beta 90.00
_cell_angle_gamma 90.00
loop_
_symmetry_equiv_pos_as_xyz
'x,y,z'
loop_
_atom_site_label
_atom_site_type_symbol
_atom_site_fract_x
_atom_site_fract_y
_atom_site_fract_z
_atom_site_occupancy
Cd1 Cd 0.000 0.977 0.972 1
Ru1 Ru 0.500 0.611 0.730 1
Cd2 Cd 0.500 0.288 0.276 1
Co1 Co 0.000 0.625 0.521 1
# - E (eV per cell) = -16.761
# - energy of formation (eV per formula unit) = 1.45
# - space group = Pm, No. 6

=====

# SrYV2Cl (GGA-PBE, relaxed)
data_SrYV2Cl
_symmetry_space_group_name_H-M 'P 1'
_symmetry_Int_Tables_number 1
_cell_length_a 4.608
_cell_length_b 5.387
_cell_length_c 4.608
_cell_angle_alpha 90.00
_cell_angle_beta 90.00
_cell_angle_gamma 90.00
loop_
_symmetry_equiv_pos_as_xyz
'x,y,z'
loop_
_atom_site_label
_atom_site_type_symbol
_atom_site_fract_x
_atom_site_fract_y
_atom_site_fract_z
_atom_site_occupancy
V1 V 0.000 0.000 0.500 1
Sr1 Sr 0.000 0.500 0.000 1
Cl1 Cl 0.000 0.000 0.000 1
V2 V 0.500 0.000 0.000 1
Y1 Y 0.500 0.500 0.500 1
# - E (eV per cell) = -25.842
# - raw formation energy (eV/atom) = 0.48
# - space group = P4/mmm, No. 123

=====

# Ac2Al4InCu3 (GGA-PBE, relaxed)
data_Ac2Al4InCu3
_symmetry_space_group_name_H-M 'P 1'
_symmetry_Int_Tables_number 1
_cell_length_a 4.435
_cell_length_b 4.435
_cell_length_c 10.789
_cell_angle_alpha 90.00
_cell_angle_beta 90.00
_cell_angle_gamma 90.00
loop_
_symmetry_equiv_pos_as_xyz
'x,y,z'
loop_
_atom_site_label
_atom_site_type_symbol
_atom_site_fract_x
_atom_site_fract_y
_atom_site_fract_z
_atom_site_occupancy
Cu1 Cu 0.000 0.500 0.120 1
In1 In 0.500 0.500 0.500 1
Al1 Al 0.500 0.000 0.646 1
Ac1 Ac 0.500 0.000 0.241 1
Al2 Al 0.500 0.500 0.000 1
Al3 Al 0.000 0.500 0.354 1
Cu2 Cu 0.000 0.000 0.500 1
Al4 Al 0.000 0.000 0.000 1
Cu3 Cu 0.500 0.000 0.880 1
Ac2 Ac 0.000 0.500 0.759 1
# - E (eV per cell) = -41.646
# - energy of formation (eV per formula unit) = -3.43
# - space group = P-4m2, No. 115

=====

# Ac4HgSb2Te (GGA-PBE, relaxed)
data_Ac4HgSb2Te
_symmetry_space_group_name_H-M 'P 1'
_symmetry_Int_Tables_number 1
_cell_length_a 4.706
_cell_length_b 8.380
_cell_length_c 8.219
_cell_angle_alpha 108.83
_cell_angle_beta 90.00
_cell_angle_gamma 90.00
loop_
_symmetry_equiv_pos_as_xyz
'x,y,z'
loop_
_atom_site_label
_atom_site_type_symbol
_atom_site_fract_x
_atom_site_fract_y
_atom_site_fract_z
_atom_site_occupancy
Ac1 Ac 0.000 0.752 0.254 1
Te1 Te 0.000 0.000 0.000 1
Ac2 Ac 0.500 0.747 0.743 1
Sb1 Sb 0.000 0.500 0.500 1
Sb2 Sb 0.500 0.000 0.500 1
Ac3 Ac 0.000 0.248 0.746 1
Ac4 Ac 0.500 0.253 0.257 1
Hg1 Hg 0.500 0.500 0.000 1
# - E (eV per cell) = -36.679
# - raw formation energy (eV/atom) = -1.07
# - space group = P2/m, No. 10

=====

# LiGa2Ir (GGA-PBE, relaxed)
data_LiGa2Ir
_symmetry_space_group_name_H-M 'P 1'
_symmetry_Int_Tables_number 1
_cell_length_a 3.170
_cell_length_b 3.170
_cell_length_c 5.688
_cell_angle_alpha 90.00
_cell_angle_beta 90.00
_cell_angle_gamma 90.00
loop_
_symmetry_equiv_pos_as_xyz
'x,y,z'
loop_
_atom_site_label
_atom_site_type_symbol
_atom_site_fract_x
_atom_site_fract_y
_atom_site_fract_z
_atom_site_occupancy
Ga1 Ga 0.000 0.000 0.247 1
Li1 Li 0.500 0.500 0.000 1
Ir1 Ir 0.500 0.500 0.500 1
Ga2 Ga 0.000 0.000 0.753 1
# - E (eV per cell) = -18.273
# - energy of formation (eV per formula unit) = -1.44
# - space group = P4/mmm, No. 123

=====

# MnTe2Pb (GGA-PBE, relaxed)
data_MnTe2Pb
_symmetry_space_group_name_H-M 'P 1'
_symmetry_Int_Tables_number 1
_cell_length_a 6.951
_cell_length_b 6.951
_cell_length_c 6.951
_cell_angle_alpha 148.19
_cell_angle_beta 133.05
_cell_angle_gamma 57.82
loop_
_symmetry_equiv_pos_as_xyz
'x,y,z'
loop_
_atom_site_label
_atom_site_type_symbol
_atom_site_fract_x
_atom_site_fract_y
_atom_site_fract_z
_atom_site_occupancy
Pb1 Pb 0.750 0.250 0.500 1
Mn1 Mn 0.250 0.750 0.500 1
Te1 Te 0.403 0.403 0.000 1
Te2 Te 0.097 0.097 0.000 1
# - E (eV per cell) = -19.433
# - raw formation energy (eV/atom) = -0.07
# - space group = Immm, No. 71

=====

# TlSnGe2Pb (GGA-PBE, relaxed)
data_TlSnGe2Pb
_symmetry_space_group_name_H-M 'P 1'
_symmetry_Int_Tables_number 1
_cell_length_a 5.345
_cell_length_b 5.755
_cell_length_c 5.345
_cell_angle_alpha 90.00
_cell_angle_beta 90.00
_cell_angle_gamma 90.00
loop_
_symmetry_equiv_pos_as_xyz
'x,y,z'
loop_
_atom_site_label
_atom_site_type_symbol
_atom_site_fract_x
_atom_site_fract_y
_atom_site_fract_z
_atom_site_occupancy
Sn1 Sn 0.000 0.500 0.000 1
Pb1 Pb 0.500 0.500 0.500 1
Ge1 Ge 0.500 0.000 0.000 1
Tl1 Tl 0.000 0.000 0.000 1
Ge2 Ge 0.000 0.000 0.500 1
# - E (eV per cell) = -15.385
# - energy of formation (eV per formula unit) = 3.93
# - space group = P4/mmm, No. 123

=====

# ZrZn3Os (GGA-PBE, relaxed)
data_ZrZn3Os
_symmetry_space_group_name_H-M 'P 1'
_symmetry_Int_Tables_number 1
_cell_length_a 5.018
_cell_length_b 5.018
_cell_length_c 5.018
_cell_angle_alpha 90.00
_cell_angle_beta 90.00
_cell_angle_gamma 90.00
loop_
_symmetry_equiv_pos_as_xyz
'x,y,z'
loop_
_atom_site_label
_atom_site_type_symbol
_atom_site_fract_x
_atom_site_fract_y
_atom_site_fract_z
_atom_site_occupancy
Zr1 Zr 0.000 0.000 0.000 1
Zn1 Zn 0.000 0.500 0.000 1
Zn2 Zn 0.000 0.000 0.500 1
Os1 Os 0.500 0.500 0.500 1
Zn3 Zn 0.500 0.000 0.000 1
# - E (eV per cell) = -13.743
# - energy of formation (eV per formula unit) = 9.86
# - space group = Pm-3m, No. 221

=====

# CaPu2Ni9 (GGA-PBE, relaxed)
data_CaPu2Ni9
_symmetry_space_group_name_H-M 'P 1'
_symmetry_Int_Tables_number 1
_cell_length_a 4.960
_cell_length_b 4.960
_cell_length_c 8.596
_cell_angle_alpha 73.23
_cell_angle_beta 73.23
_cell_angle_gamma 60.00
loop_
_symmetry_equiv_pos_as_xyz
'x,y,z'
loop_
_atom_site_label
_atom_site_type_symbol
_atom_site_fract_x
_atom_site_fract_y
_atom_site_fract_z
_atom_site_occupancy
Pu1 Pu 0.858 0.858 0.425 1
Pu2 Pu 0.142 0.142 0.575 1
Ni1 Ni 0.418 0.919 0.246 1
Ni2 Ni 0.582 0.081 0.754 1
Ni3 Ni 0.418 0.418 0.246 1
Ca1 Ca 0.000 0.000 0.000 1
Ni4 Ni 0.919 0.418 0.246 1
Ni5 Ni 0.582 0.582 0.754 1
Ni6 Ni 0.667 0.667 0.998 1
Ni7 Ni 0.081 0.582 0.754 1
Ni8 Ni 0.333 0.333 0.002 1
Ni9 Ni 0.500 0.500 0.500 1
# - E (eV per cell) = -85.167
# - energy of formation (eV per formula unit) = -2.47
# - space group = R-3m, No. 166

=====

# Zr2HIrRu (GGA-PBE, relaxed)
data_Zr2HIrRu
_symmetry_space_group_name_H-M 'P 1'
_symmetry_Int_Tables_number 1
_cell_length_a 4.494
_cell_length_b 4.494
_cell_length_c 3.648
_cell_angle_alpha 90.00
_cell_angle_beta 90.00
_cell_angle_gamma 90.00
loop_
_symmetry_equiv_pos_as_xyz
'x,y,z'
loop_
_atom_site_label
_atom_site_type_symbol
_atom_site_fract_x
_atom_site_fract_y
_atom_site_fract_z
_atom_site_occupancy
Zr1 Zr 0.000 0.500 0.000 1
Ir1 Ir 0.500 0.500 0.500 1
Zr2 Zr 0.500 0.000 0.000 1
H1 H 0.000 0.000 0.000 1
Ru1 Ru 0.000 0.000 0.500 1
# - E (eV per cell) = -41.448
# - space group = P4/mmm, No. 123

=====

# Ba2PuVN5 (GGA-PBE, relaxed)
data_Ba2PuVN5
_symmetry_space_group_name_H-M 'P 1'
_symmetry_Int_Tables_number 1
_cell_length_a 3.585
_cell_length_b 7.774
_cell_length_c 11.643
_cell_angle_alpha 90.00
_cell_angle_beta 90.00
_cell_angle_gamma 103.33
loop_
_symmetry_equiv_pos_as_xyz
'x,y,z'
loop_
_atom_site_label
_atom_site_type_symbol
_atom_site_fract_x
_atom_site_fract_y
_atom_site_fract_z
_atom_site_occupancy
N1 N 0.326 0.653 0.008 1
N2 N 0.674 0.347 0.508 1
Pu1 Pu 0.801 0.601 0.529 1
N3 N 0.709 0.417 0.138 1
N4 N 0.672 0.345 0.904 1
Pu2 Pu 0.199 0.399 0.029 1
N5 N 0.291 0.583 0.638 1
N6 N 0.949 0.898 0.504 1
Ba1 Ba 0.892 0.784 0.177 1
Ba2 Ba 0.108 0.216 0.677 1
Ba3 Ba 0.861 0.722 0.824 1
N7 N 0.500 0.001 0.306 1
V1 V 0.553 0.107 0.934 1
N8 N 0.051 0.102 0.004 1
Ba4 Ba 0.139 0.278 0.324 1
N9 N 0.500 0.999 0.806 1
N10 N 0.328 0.655 0.404 1
V2 V 0.447 0.893 0.434 1
# - E (eV per cell) = -152.932
# - raw formation energy (eV/atom) = -0.84
# - space group = Cmc2_1, No. 36

=====

# SrIrNF2 (GGA-PBE, relaxed)
data_SrIrNF2
_symmetry_space_group_name_H-M 'P 1'
_symmetry_Int_Tables_number 1
_cell_length_a 4.435
_cell_length_b 4.435
_cell_length_c 5.443
_cell_angle_alpha 90.00
_cell_angle_beta 90.00
_cell_angle_gamma 90.00
loop_
_symmetry_equiv_pos_as_xyz
'x,y,z'
loop_
_atom_site_label
_atom_site_type_symbol
_atom_site_fract_x
_atom_site_fract_y
_atom_site_fract_z
_atom_site_occupancy
F1 F 0.500 0.000 0.000 1
N1 N 0.000 0.000 0.500 1
F2 F 0.000 0.500 0.000 1
Ir1 Ir 0.500 0.500 0.500 1
Sr1 Sr 0.000 0.000 0.000 1
# - E (eV per cell) = -22.179
# - raw formation energy (eV/atom) = 0.09
# - space group = P4/mmm, No. 123